# VCo2RhBr, optimized geometry, DFT PBE
# density: 7.0 g cm⁻³
# uncorrected formation energy: 658 kJ/mol of formula units
# E: -5.1079 eV per atom
data_VCo2RhBr
_chemical_formula_sum 'V1 Co2 Rh1 Br1'
_cell_length_a 4.238
_cell_length_b 4.238
_cell_length_c 4.620
_cell_angle_alpha 90.00
_cell_angle_beta 90.00
_cell_angle_gamma 90.00
_symmetry_space_group_name_H-M 'P 1'
_symmetry_Int_Tables_number 1
loop_
_symmetry_equiv_pos_as_xyz
'x,y,z'
loop_
_atom_site_label
_atom_site_type_symbol
_atom_site_fract_x
_atom_site_fract_y
_atom_site_fract_z
V1 V 0.000 0.000 0.000
Co1 Co 0.000 0.500 0.500
Co2 Co 0.500 0.000 0.500
Rh1 Rh 0.500 0.500 0.000
Br1 Br 0.500 0.500 0.500